Record 1
This record from Alexandria via LeMat-Bulk describes an optimized crystal structure of AgSbTe2. The functional is GGA-PBE.

- Total energy: -3.40 eV/atom
- E_form (uncorrected): -0.0858 eV/atom

Lattice parameters (Å, degrees): 12.2434 12.2434 12.2434 90.00 90.00 90.00
Last column: nearest neighbours and their distance in Å.
Space group Fd-3m (No. 227, origin choice 2)
Symmetry-distinct sites (fractional):
Ag 0.0000 0.0000 0.0000 [16 per cell]  6 Te 3.02
Sb 0.0000 0.0000 0.5000 [16 per cell]  6 Te 3.11
Te 0.0036 0.0036 0.2464 [32 per cell]  3 Ag 3.02, 3 Sb 3.11



Record 2
This record from Alexandria via LeMat-Bulk describes an optimized crystal structure of TbPmMgSi. The functional is GGA-PBE.

- Total energy: -4.39 eV/atom
- E_form (uncorrected): -0.2864 eV/atom

Lattice parameters (Å, degrees): 7.2960 7.2960 7.2960 90.00 90.00 90.00
Last column: nearest neighbours and their distance in Å.
Space group F-43m (No. 216)
Symmetry-distinct sites (fractional):
Tb 0.0000 0.0000 0.0000 [4 per cell]  4 Si 3.16, 4 Mg 3.16
Pm 0.0000 0.0000 0.5000 [4 per cell]  4 Mg 3.16, 4 Si 3.16
Mg 0.2500 0.2500 0.7500 [4 per cell]  4 Tb 3.16, 4 Pm 3.16
Si 0.2500 0.2500 0.2500 [4 per cell]  4 Tb 3.16, 4 Pm 3.16



Record 3
This record from Alexandria via LeMat-Bulk describes an optimized crystal structure of TbUTe3. The functional is GGA-PBE.

- Offset from the most stable computed form: 62 meV/atom
- Total energy: -6.01 eV/atom
- E_form (uncorrected): -0.9400 eV/atom

Lattice parameters (Å, degrees): 4.3392 4.3392 22.1731 90.00 90.00 120.00
Last column: nearest neighbours and their distance in Å.
Space group P6_3mc (No. 186)
Symmetry-distinct sites (fractional):
Tb 0.3333 0.6667 0.0000 [2 per cell]  6 Te 2.99-3.21
U 0.0000 0.0000 0.1782 [2 per cell]  6 Te 3.05-3.17
Te 0.0000 0.0000 0.4262 [2 per cell]  3 Tb 2.99
Te 0.3333 0.6667 0.2566 [2 per cell]  3 U 3.05
Te 0.3333 0.6667 0.5905 [2 per cell]  3 U 3.17, 3 Tb 3.21



Record 4
This record from Alexandria via LeMat-Bulk describes an optimized crystal structure of Be2TcCl. The functional is GGA-PBE.

- Offset from the most stable computed form: 60 meV/atom
- Total energy: -4.73 eV/atom
- E_form (uncorrected): 0.1854 eV/atom

Lattice parameters (Å, degrees): 3.0749 3.0749 5.5547 90.00 90.00 90.00
Last column: nearest neighbours and their distance in Å.
Space group P4/mmm (No. 123)
Symmetry-distinct sites (fractional):
Be 0.0000 0.0000 0.1810 [2 per cell]  1 Be 2.01
Tc 0.5000 0.5000 0.0000 [1 per cell]  8 Be 2.40
Cl 0.5000 0.5000 0.5000 [1 per cell]  2 Tc 2.78, 8 Be 2.80, 4 Cl 3.07



Record 5
This record from Alexandria via LeMat-Bulk describes an optimized crystal structure of LiAl2CoCl. The functional is GGA-PBE.

- Total energy: -3.05 eV/atom
- E_form (uncorrected): 0.6250 eV/atom

Lattice parameters (Å, degrees): 5.1869 5.1869 4.0708 90.00 90.00 90.00
Last column: nearest neighbours and their distance in Å.
Space group P4/mmm (No. 123)
Symmetry-distinct sites (fractional):
Li 0.0000 0.0000 0.0000 [1 per cell]  8 Al 3.30, 4 Co 3.67
Al 0.0000 0.5000 0.5000 [2 per cell]  2 Cl 2.59
Co 0.5000 0.5000 0.0000 [1 per cell]  2 Cl 2.04
Cl 0.5000 0.5000 0.5000 [1 per cell]  2 Co 2.04



Record 6
This record from Alexandria via LeMat-Bulk describes an optimized crystal structure of SbTeBr2. The functional is GGA-PBE.

- Offset from the most stable computed form: 400 meV/atom
- Total energy: -2.55 eV/atom
- E_form (uncorrected): 0.1056 eV/atom

Lattice parameters (Å, degrees): 3.4983 4.8947 6.4782 90.00 95.43 90.00
Last column: nearest neighbours and their distance in Å.
Space group P2/m (No. 10)
Symmetry-distinct sites (fractional):
Sb 0.0000 0.0000 0.0000 [1 per cell]  4 Br 2.99
Te 0.5000 0.0000 0.5000 [1 per cell]  4 Br 3.24, 2 Te 3.50, 2 Sb 3.53
Br 0.1858 0.5000 0.7653 [2 per cell]  2 Sb 2.99, 2 Te 3.24



What is the formula in the fourth record?
Be2TcCl